Ca2MgF | meta-GGA SCAN | PBEsol geometry

Lattice parameters (Å, degrees): 7.1993 7.1993 8.3061 90.00 90.00 90.00
Fractional positions:
Ca1 0.1330 0.7500 0.1250
Ca2 0.2500 0.1330 0.8750
Ca3 0.2500 0.3670 0.3750
Ca4 0.3670 0.7500 0.6250
Ca5 0.6330 0.2500 0.6250
Ca6 0.7500 0.6330 0.3750
Ca7 0.7500 0.8670 0.8750
Ca8 0.8670 0.2500 0.1250
Mg1 0.0000 0.0000 0.5000
Mg2 0.0000 0.5000 0.7500
Mg3 0.5000 0.0000 0.2500
Mg4 0.5000 0.5000 0.0000
F1 0.0000 0.0000 0.0000
F2 0.0000 0.5000 0.2500
F3 0.5000 0.0000 0.7500
F4 0.5000 0.5000 0.5000

Output
* raw formation energy: -1399 meV/atom
* calculated total energy: -8.3591 eV per atom
* V: 26.91 A^3/atom